Computed, not measured: crystalline CeSi3Rh9 at its relaxed geometry at the PBE-GGA level of DFT.

Cell and atoms, written as POSCAR:
```
CeSi3Rh9
1.0
2.5515 -6.3590 0.0000
2.5515 6.3590 0.0000
-2.0038 0.0000 5.9681
Ce Si Rh
1 3 9
direct
0.0000 0.0000 0.0000
0.0000 0.5000 0.0000
0.5000 0.0000 0.0000
0.5000 0.5000 0.5000
0.0000 0.0000 0.5000
0.0467 0.6899 0.6773
0.2922 0.5177 0.7728
0.3101 0.9533 0.3227
0.4823 0.7078 0.2272
0.5177 0.2922 0.7728
0.6899 0.0467 0.6773
0.7078 0.4823 0.2272
0.9533 0.3101 0.3227
```

Computed properties:
As for the space group: C2/m (12). Its energy is -96.08 eV per cell. The value obtained for the volume is 14.90 A^3/atom. The spin magnetization is 0.00 μB per cell. The calculation puts the formation energy (no corrections) at -7.71 eV per formula unit.

***

Computed, not measured: crystalline Ce3Si4Rh7 at its relaxed geometry at the PBE-GGA level of DFT.

Cell and atoms, written as POSCAR:
```
Ce3Si4Rh7
1.0
7.6994 -2.0046 0.0000
7.6994 2.0046 0.0000
-5.4273 0.0000 7.6366
Ce Si Rh
3 4 7
direct
0.0000 0.0000 0.0000
0.3303 0.3303 0.3350
0.6697 0.6697 0.6650
0.1146 0.1146 0.8413
0.3352 0.3352 0.7193
0.6648 0.6648 0.2807
0.8854 0.8854 0.1587
0.0000 0.0000 0.5000
0.1650 0.1650 0.4245
0.3022 0.3022 0.9496
0.4974 0.4974 0.7292
0.5026 0.5026 0.2708
0.6978 0.6978 0.0504
0.8350 0.8350 0.5755
```

Computed properties:
As for the space group: C2/m (12). Its energy is -104.62 eV per cell. The value obtained for the volume is 16.84 A^3/atom. The spin magnetization is 0.57 μB per cell. The calculation puts the formation energy (no corrections) at -13.67 eV per formula unit.

***

Computed, not measured: crystalline Ce3Si3Rh2 at its relaxed geometry at the PBE-GGA level of DFT.

Cell and atoms, written as POSCAR:
```
Ce3Si3Rh2
1.0
2.1051 -5.3375 0.0000
2.1051 5.3375 0.0000
0.0000 0.0000 14.0605
Ce Si Rh
6 6 4
direct
0.0815 0.9185 0.6166
0.0815 0.9185 0.8834
0.3724 0.6276 0.7500
0.6276 0.3724 0.2500
0.9185 0.0815 0.1166
0.9185 0.0815 0.3834
0.3207 0.6793 0.2500
0.3939 0.6061 0.5427
0.3939 0.6061 0.9573
0.6061 0.3939 0.0427
0.6061 0.3939 0.4573
0.6793 0.3207 0.7500
0.2206 0.7794 0.0780
0.2206 0.7794 0.4220
0.7794 0.2206 0.5780
0.7794 0.2206 0.9220
```

Computed properties:
As for the space group: Cmcm (63). The distance to the lowest polymorph of the same formula is 11.3 meV/atom. Its energy is -111.48 eV per cell. The value obtained for the volume is 19.75 A^3/atom. The spin magnetization is 1.59 μB per cell. The calculation puts the formation energy (no corrections) at -6.97 eV per formula unit.

***

Computed, not measured: crystalline CeSiRh2 at its relaxed geometry at the PBE-GGA level of DFT.

Cell and atoms, written as POSCAR:
```
CeSiRh2
1.0
1.4958 0.8636 8.6033
-1.4958 0.8636 8.6033
0.0000 -1.7272 8.6033
Ce Si Rh
1 1 2
direct
0.0000 0.0000 0.0000
0.5000 0.5000 0.5000
0.2325 0.2325 0.2325
0.7675 0.7675 0.7675
```

Computed properties:
As for the space group: R-3m (166). Its energy is -27.59 eV per cell. The value obtained for the volume is 16.67 A^3/atom. The spin magnetization is 0.00 μB per cell. The calculation puts the formation energy (no corrections) at -1.53 eV per formula unit.

***

Computed, not measured: crystalline Ce3Si2Rh4 at its relaxed geometry at the PBE-GGA level of DFT.

Cell and atoms, written as POSCAR:
```
Ce3Si2Rh4
1.0
5.3087 -2.0328 0.0000
5.3087 2.0328 0.0000
-3.6758 0.0000 8.1624
Ce Si Rh
3 2 4
direct
0.0000 0.0000 0.0000
0.3626 0.3626 0.3044
0.6374 0.6374 0.6956
0.3532 0.3532 0.6900
0.6468 0.6468 0.3100
0.1325 0.1325 0.4430
0.2940 0.2940 0.9227
0.7060 0.7060 0.0773
0.8675 0.8675 0.5570
```

Computed properties:
As for the space group: C2/m (12). Its energy is -65.96 eV per cell. The value obtained for the volume is 19.57 A^3/atom. The spin magnetization is 0.47 μB per cell. The calculation puts the formation energy (no corrections) at -7.90 eV per formula unit.

***

Computed, not measured: crystalline CeSiRh at its relaxed geometry at the PBE-GGA level of DFT.

Cell and atoms, written as POSCAR:
```
CeSiRh
1.0
6.2903 0.0000 0.0000
0.0000 6.2903 0.0000
0.0000 0.0000 6.2903
Ce Si Rh
4 4 4
direct
0.1265 0.1265 0.1265
0.3735 0.8735 0.6265
0.6265 0.3735 0.8735
0.8735 0.6265 0.3735
0.1690 0.3310 0.6690
0.3310 0.6690 0.1690
0.6690 0.1690 0.3310
0.8310 0.8310 0.8310
0.0655 0.5655 0.9345
0.4345 0.4345 0.4345
0.5655 0.9345 0.0655
0.9345 0.0655 0.5655
```

Computed properties:
As for the space group: P2_13 (198). Its energy is -85.40 eV per cell. The value obtained for the volume is 20.74 A^3/atom. The spin magnetization is 2.95 μB per cell. The calculation puts the formation energy (no corrections) at -2.64 eV per formula unit.